(1)
Pm6Pr2NdY | PBE-GGA | optimized geometry

CIF file:
```
data_Pm6Pr2NdY
_chemical_formula_sum 'Pm12 Pr4 Nd2 Y2'
_cell_length_a 9.9440
_cell_length_b 8.9900
_cell_length_c 8.9900
_cell_angle_alpha 118.22
_cell_angle_beta 94.45
_cell_angle_gamma 94.45
_symmetry_space_group_name_H-M 'P 1'
_symmetry_Int_Tables_number 1
_symmetry_space_group_name_Hall 'P 1'
loop_
_atom_site_label
_atom_site_type_symbol
_atom_site_fract_x
_atom_site_fract_y
_atom_site_fract_z
Pr1 Pr 0.0418 0.2964 0.1956
Pr2 Pr 0.4582 0.8044 0.7036
Pr3 Pr 0.9582 0.7036 0.8044
Pr4 Pr 0.5418 0.1956 0.2964
Pm1 Pm 0.3129 0.9818 0.4275
Pm2 Pm 0.1871 0.5725 0.0182
Pm3 Pm 0.6201 0.4950 0.7058
Pm4 Pm 0.4447 0.2540 0.8793
Pm5 Pm 0.3799 0.5050 0.2942
Pm6 Pm 0.0553 0.1207 0.7460
Pm7 Pm 0.8799 0.2942 0.5050
Pm8 Pm 0.9447 0.8793 0.2540
Pm9 Pm 0.5553 0.7460 0.1207
Pm10 Pm 0.8129 0.4275 0.9818
Pm11 Pm 0.6871 0.0182 0.5725
Pm12 Pm 0.1201 0.7058 0.4950
Nd1 Nd 0.2500 0.9817 0.0183
Nd2 Nd 0.7500 0.0183 0.9817
Y1 Y 0.7500 0.5925 0.4075
Y2 Y 0.2500 0.4075 0.5925
```

Output
- Symmetry: C2/c, No. 15

***

(2)
Pm2Pr5NdY | PBE-GGA | optimized geometry

CIF file:
```
data_Pm2Pr5NdY
_chemical_formula_sum 'Pm4 Pr10 Nd2 Y2'
_cell_length_a 8.9852
_cell_length_b 8.9852
_cell_length_c 10.2064
_cell_angle_alpha 116.12
_cell_angle_beta 116.12
_cell_angle_gamma 90.00
_symmetry_space_group_name_H-M 'P 1'
_symmetry_Int_Tables_number 1
_symmetry_space_group_name_Hall 'P 1'
loop_
_atom_site_label
_atom_site_type_symbol
_atom_site_fract_x
_atom_site_fract_y
_atom_site_fract_z
Pr1 Pr 0.0000 0.0000 0.0000
Pr2 Pr 0.6503 0.1503 0.7224
Pr3 Pr 0.5721 0.6503 0.7224
Pr4 Pr 0.4279 0.3497 0.2776
Pr5 Pr 0.5000 0.5000 0.0000
Pr6 Pr 0.9279 0.4279 0.2776
Pr7 Pr 0.0721 0.5721 0.7224
Pr8 Pr 0.1503 0.0721 0.7224
Pr9 Pr 0.3497 0.8497 0.2776
Pr10 Pr 0.8497 0.9279 0.2776
Pm1 Pm 0.1160 0.3840 0.0000
Pm2 Pm 0.6160 0.1160 0.0000
Pm3 Pm 0.8840 0.6160 0.0000
Pm4 Pm 0.3840 0.8840 0.0000
Y1 Y 0.2500 0.7500 0.5000
Y2 Y 0.7500 0.2500 0.5000
Nd1 Nd 0.2500 0.2500 0.5000
Nd2 Nd 0.7500 0.7500 0.5000
```

Output
- Symmetry: I4/mcm, No. 140

***

(3)
Pm4PrNd2Y2 | PBE-GGA | optimized geometry

CIF file:
```
data_Pm4PrNd2Y2
_chemical_formula_sum 'Pm4 Pr1 Nd2 Y2'
_cell_length_a 5.1647
_cell_length_b 8.1636
_cell_length_c 8.1451
_cell_angle_alpha 107.58
_cell_angle_beta 90.00
_cell_angle_gamma 108.44
_symmetry_space_group_name_H-M 'P 1'
_symmetry_Int_Tables_number 1
_symmetry_space_group_name_Hall 'P 1'
loop_
_atom_site_label
_atom_site_type_symbol
_atom_site_fract_x
_atom_site_fract_y
_atom_site_fract_z
Y1 Y 0.6675 0.3349 0.9998
Y2 Y 0.3325 0.6651 0.0002
Pm1 Pm 0.2221 0.4442 0.3324
Pm2 Pm 0.4442 0.8884 0.6668
Pm3 Pm 0.7779 0.5558 0.6676
Pm4 Pm 0.5558 0.1116 0.3332
Nd1 Nd 0.1113 0.2226 0.6661
Nd2 Nd 0.8887 0.7774 0.3339
Pr1 Pr 0.0000 0.0000 0.0000
```

Output
- Symmetry: C2/m, No. 12

***

(4)
Pm2Pr2NdY4 | PBE-GGA | optimized geometry

CIF file:
```
data_Pm2Pr2NdY4
_chemical_formula_sum 'Pm2 Pr2 Nd1 Y4'
_cell_length_a 3.6689
_cell_length_b 9.6745
_cell_length_c 9.7494
_cell_angle_alpha 115.24
_cell_angle_beta 90.00
_cell_angle_gamma 100.93
_symmetry_space_group_name_H-M 'P 1'
_symmetry_Int_Tables_number 1
_symmetry_space_group_name_Hall 'P 1'
loop_
_atom_site_label
_atom_site_type_symbol
_atom_site_fract_x
_atom_site_fract_y
_atom_site_fract_z
Pm1 Pm 0.3336 0.6671 0.9978
Pm2 Pm 0.6664 0.3329 0.0022
Nd1 Nd 0.0000 0.0000 0.0000
Y1 Y 0.5196 0.0391 0.3327
Y2 Y 0.4804 0.9609 0.6673
Y3 Y 0.8151 0.6301 0.6650
Y4 Y 0.1849 0.3699 0.3350
Pr1 Pr 0.8523 0.7046 0.3349
Pr2 Pr 0.1477 0.2954 0.6651
```

Output
- Symmetry: C2/m, No. 12

***

Ordered mass density results: 6.57, 6.32, 6.38, 5.81; unit g/cm3.
Ordered formation energy results: 106, 236, 13, 0; unit kJ/mol of formula units.
Ordered M_tot results: 0.000, 0.000, 0.000, 0.000; unit μB per formula unit.